First-principles (PBE) data for a geometry-optimized CdRe4Ru structure, as listed in the Alexandria database.

V in Å³ per cell: 396.88
Energy in eV per atom: -9.42
Calculated formation energy in eV per atom: 0.573

Cell: 7.349 7.349 7.349 Å, 90.00 90.00 90.00°
Space group F-43m (No. 216)
Symmetry-distinct sites (fractional):
Cd 0.000 0.000 0.000 x4
Re 0.126 0.126 0.626 x16
Ru 0.250 0.250 0.250 x4

---

First-principles (PBE) data for a geometry-optimized TePtSe2 structure, as listed in the Alexandria database.

V in Å³ per cell: 173.20
Energy relative to the elements, uncorrected in eV per atom: 0.021
Energy in eV per atom: -4.02

Cell: 5.590 5.590 5.542 Å, 90.00 90.00 90.00°
Space group I4/mmm (No. 139)
Symmetry-distinct sites (fractional):
Te 0.000 0.000 0.000 x2
Pt 0.000 0.000 0.500 x2
Se 0.000 0.500 0.000 x4

---

First-principles (PBE) data for a geometry-optimized RbBaPaN3 structure, as listed in the Alexandria database.

V in Å³ per cell: 551.79
Energy relative to the elements, uncorrected in eV per atom: -0.652
Energy in eV per atom: -6.88

Cell: 6.874 13.149 6.292 Å, 90.00 104.01 90.00°
Space group C2/c (No. 15)
Symmetry-distinct sites (fractional):
Rb 0.000 0.072 0.250 x4
Ba 0.000 0.272 0.750 x4
Pa 0.000 0.440 0.250 x4
N 0.000 0.284 0.250 x4
N 0.162 0.444 0.961 x8

---

First-principles (PBE) data for a geometry-optimized ReTcSb2 structure, as listed in the Alexandria database.

V in Å³ per cell: 146.62
Energy relative to the elements, uncorrected in eV per atom: 0.574
Energy in eV per atom: -7.19
Energy relative to the lowest polymorph listed for this composition in eV/atom: 0.434

Cell: 3.236 4.450 10.182 Å, 90.00 90.00 90.00°
Space group Imm2 (No. 44)
Symmetry-distinct sites (fractional):
Re 0.000 0.000 0.000 x2
Tc 0.000 0.500 0.238 x2
Sb 0.000 0.000 0.508 x2
Sb 0.000 0.500 0.733 x2

---

First-principles (PBE) data for a geometry-optimized YPuHgAu structure, as listed in the Alexandria database.

V in Å³ per cell: 99.89
Energy in eV per atom: -6.56
Calculated formation energy in eV per atom: -0.462
Energy relative to the lowest polymorph listed for this composition in eV/atom: 0.000

Cell: 3.597 3.597 7.722 Å, 90.00 90.00 90.00°
Space group P4mm (No. 99)
Symmetry-distinct sites (fractional):
Y 0.000 0.000 0.000 x1
Pu 0.000 0.000 0.530 x1
Hg 0.500 0.500 0.256 x1
Au 0.500 0.500 0.785 x1

---

First-principles (PBE) data for a geometry-optimized SrZn2Ru structure, as listed in the Alexandria database.

V in Å³ per cell: 174.95
Energy in eV per atom: -3.29
Calculated formation energy in eV per atom: 0.082

Cell: 3.439 3.858 13.185 Å, 90.00 90.00 90.00°
Space group Imm2 (No. 44)
Symmetry-distinct sites (fractional):
Sr 0.000 0.000 0.000 x2
Zn 0.000 0.000 0.658 x2
Zn 0.000 0.500 0.799 x2
Ru 0.000 0.500 0.303 x2

---

First-principles (PBE) data for a geometry-optimized Sc3Pb structure, as listed in the Alexandria database.

V in Å³ per cell: 189.85
Energy in eV per atom: -5.95
Calculated formation energy in eV per atom: -0.276

Cell: 4.374 4.374 9.922 Å, 90.00 90.00 90.00°
Space group I4/mmm (No. 139)
Symmetry-distinct sites (fractional):
Sc 0.000 0.000 0.000 x2
Sc 0.000 0.500 0.250 x4
Pb 0.000 0.000 0.500 x2

---

First-principles (PBE) data for a geometry-optimized Ta3Cr structure, as listed in the Alexandria database.

V in Å³ per cell: 66.71
Energy in eV per atom: -11.22
Calculated formation energy in eV per atom: 0.079

Cell: 4.535 4.535 3.244 Å, 90.00 90.00 90.00°
Space group P4/mmm (No. 123)
Symmetry-distinct sites (fractional):
Ta 0.000 0.000 0.000 x1
Ta 0.000 0.500 0.500 x2
Cr 0.500 0.500 0.000 x1

---

First-principles (PBE) data for a geometry-optimized HfFePd6 structure, as listed in the Alexandria database.

V in Å³ per cell: 123.79
Energy in eV per atom: -6.69
Calculated formation energy in eV per atom: -0.491
Energy relative to the lowest polymorph listed for this composition in eV/atom: 0.000

Cell: 3.964 3.964 7.878 Å, 90.00 90.00 90.00°
Space group P4/mmm (No. 123)
Symmetry-distinct sites (fractional):
Hf 0.000 0.000 0.000 x1
Fe 0.000 0.000 0.500 x1
Pd 0.000 0.500 0.256 x4
Pd 0.500 0.500 0.000 x1
Pd 0.500 0.500 0.500 x1

---

First-principles (PBE) data for a geometry-optimized ThBeNiC structure, as listed in the Alexandria database.

V in Å³ per cell: 114.11
Energy in eV per atom: -6.88
Calculated formation energy in eV per atom: -0.345

Cell: 3.779 3.779 7.992 Å, 90.00 90.00 90.00°
Space group P4/nmm (No. 129, origin choice 2)
Symmetry-distinct sites (fractional):
Th 0.250 0.250 0.170 x2
Be 0.250 0.250 0.643 x2
Ni 0.250 0.750 0.500 x2
C 0.250 0.250 0.860 x2

---

First-principles (PBE) data for a geometry-optimized ScGe2Rh structure, as listed in the Alexandria database.

V in Å³ per cell: 280.20
Energy in eV per atom: -6.32
Calculated formation energy in eV per atom: -0.588

Cell: 6.779 7.367 5.617 Å, 90.00 92.69 90.00°
Space group P2_1/c (No. 14)
Symmetry-distinct sites (fractional):
Sc 0.147 0.083 0.245 x4
Ge 0.152 0.741 0.013 x4
Ge 0.458 0.229 0.507 x4
Rh 0.351 0.520 0.290 x4

---

First-principles (PBE) data for a geometry-optimized Li3Co4P4 structure, as listed in the Alexandria database.

V in Å³ per cell: 303.55
Energy in eV per atom: -5.72
Calculated formation energy in eV per atom: -0.649

Cell: 6.721 6.721 6.721 Å, 90.00 90.00 90.00°
Space group I-43m (No. 217)
Symmetry-distinct sites (fractional):
Li 0.000 0.000 0.500 x6
Co 0.135 0.135 0.135 x8
P 0.185 0.185 0.815 x8